1.
Material: CdAg2PdF6
Method: DFT, GGA-PBE
State: optimized geometry

The structure in POSCAR format:
```
CdAg2PdF6
1.0
5.6793 -3.0068 0.0000
5.6793 3.0068 0.0000
-1.4112 0.0000 4.6067
Cd Ag Pd F
1 2 1 6
direct
0.0000 0.0000 0.0000
0.2838 0.2838 0.7829
0.7162 0.7162 0.2171
0.5000 0.5000 0.5000
0.1817 0.1817 0.3054
0.1853 0.6355 0.2086
0.3645 0.8147 0.7914
0.6355 0.1853 0.2086
0.8147 0.3645 0.7914
0.8183 0.8183 0.6946
```

Results
- electronic total energy (eV/atom) = -3.687
- raw formation energy (eV per formula unit) = -13.8


2.
Material: NaMnTe3Pd
Method: DFT, GGA-PBE
State: optimized geometry

The structure in POSCAR format:
```
NaMnTe3Pd
1.0
7.8366 0.0000 0.0000
0.0000 3.9515 0.0000
-3.2971 0.0000 9.6394
Na Mn Te Pd
2 2 6 2
direct
0.2404 0.2500 0.3027
0.7596 0.7500 0.6973
0.3014 0.7500 0.8368
0.6986 0.2500 0.1632
0.0857 0.2500 0.8775
0.2799 0.7500 0.5692
0.4408 0.7500 0.1241
0.5592 0.2500 0.8759
0.7201 0.2500 0.4308
0.9143 0.7500 0.1225
0.0711 0.2500 0.6132
0.9289 0.7500 0.3868
```

Results
- electronic total energy (eV/atom) = -4.567
- Fermi-level density of states (states/eV/f.u.) = 2.87
- raw formation energy (eV per formula unit) = -2.3